# 1
VASP calculation (GGA-PBEsol) on Ce4Bi8Pd3 after structural relaxation.

Cell: 4.5620 4.5620 18.7046 Å, 90.00 90.00 90.00°
Atoms (fractional coordinates):
1 Ce 0.5000 0.0000 0.1094
2 Ce 0.5000 0.0000 0.6163
3 Ce 0.0000 0.5000 0.8906
4 Ce 0.0000 0.5000 0.3837
5 Bi 0.5000 0.0000 0.9183
6 Bi 0.5000 0.0000 0.4108
7 Bi 0.0000 0.5000 0.0817
8 Bi 0.0000 0.5000 0.5892
9 Bi 0.5000 0.5000 0.7537
10 Bi 0.5000 0.5000 0.2463
11 Bi 0.0000 0.0000 0.7538
12 Bi 0.0000 0.0000 0.2462
13 Pd 0.5000 0.5000 0.5000
14 Pd 0.0000 0.0000 0.0000
15 Pd 0.0000 0.0000 0.5000

Values from the calculation:
* spin magnetization: 0.07 μB/cell
* volume: 389.3 Å³ per cell
* SG: P-4m2, No. 115
* DOS at the Fermi energy: 13.41 states/eV per cell
* energy of formation from the pure elements: -648 meV per atom
* VASP energy: -5.88 eV/atom

# 2
VASP calculation (GGA-PBEsol) on CeBiPd after structural relaxation.

Cell: 4.7640 4.7640 4.7640 Å, 60.00 60.00 60.00°
Atoms (fractional coordinates):
1 Pd 0.2500 0.2500 0.2500
2 Bi 0.0000 0.0000 0.0000
3 Ce 0.5000 0.5000 0.5000

Values from the calculation:
* spin magnetization: 1.00 μB/cell
* volume: 76.5 Å³ per cell
* SG: F-43m, No. 216
* DOS at the Fermi energy: 5.56 states/eV per cell
* energy of formation from the pure elements: -788 meV per atom
* VASP energy: -6.40 eV/atom

# 3
VASP calculation (GGA-PBEsol) on CeBiPt after structural relaxation.

Cell: 4.7801 4.7801 4.7801 Å, 60.00 60.00 60.00°
Atoms (fractional coordinates):
1 Pt 0.7500 0.7500 0.7500
2 Bi 0.0000 0.0000 0.0000
3 Ce 0.5000 0.5000 0.5000

Values from the calculation:
* spin magnetization: 0.97 μB/cell
* volume: 77.2 Å³ per cell
* SG: F-43m, No. 216
* DOS at the Fermi energy: 4.42 states/eV per cell
* energy of formation from the pure elements: -866 meV per atom
* VASP energy: -6.81 eV/atom

# 4
VASP calculation (GGA-PBEsol) on Ce2Bi5Rh3 after structural relaxation.

Cell: 4.6500 7.4721 13.6747 Å, 90.00 99.79 90.00°
Atoms (fractional coordinates):
1 Rh 0.7750 0.2902 0.5500
2 Rh 0.5980 0.5002 0.1959
3 Rh 0.0504 0.0225 0.1008
4 Rh 0.2250 0.7902 0.4500
5 Rh 0.9496 0.5225 0.8992
6 Rh 0.4020 0.0002 0.8041
7 Bi 0.4046 0.6100 0.8091
8 Bi 0.2866 0.4949 0.5731
9 Bi 0.7134 0.9949 0.4269
10 Bi 0.1212 0.7467 0.2423
11 Bi 0.2978 0.0646 0.5955
12 Bi 0.9548 0.9022 0.9096
13 Bi 0.7022 0.5646 0.4045
14 Bi 0.8788 0.2467 0.7577
15 Bi 0.0452 0.4022 0.0904
16 Bi 0.5954 0.1100 0.1909
17 Ce 0.4748 0.2350 0.9497
18 Ce 0.1675 0.2689 0.3350
19 Ce 0.8325 0.7689 0.6650
20 Ce 0.5252 0.7350 0.0503

Values from the calculation:
* spin magnetization: 3.14 μB/cell
* volume: 468.2 Å³ per cell
* SG: Cmc2_1, No. 36
* DOS at the Fermi energy: 30.05 states/eV per cell
* energy of formation from the pure elements: -453 meV per atom
* VASP energy: -6.36 eV/atom

# 5
VASP calculation (GGA-PBEsol) on BiCl3 after structural relaxation.

Cell: 6.2923 7.5158 8.6179 Å, 90.00 90.00 90.00°
Atoms (fractional coordinates):
1 Bi 0.5083 0.5809 0.7500
2 Bi 0.4917 0.4191 0.2500
3 Bi 0.9917 0.0809 0.7500
4 Bi 0.0083 0.9191 0.2500
5 Cl 0.6439 0.3269 0.9386
6 Cl 0.3561 0.6731 0.4386
7 Cl 0.8561 0.8269 0.9386
8 Cl 0.1439 0.1731 0.4386
9 Cl 0.6345 0.0457 0.2500
10 Cl 0.3655 0.9543 0.7500
11 Cl 0.8655 0.5457 0.2500
12 Cl 0.1345 0.4543 0.7500
13 Cl 0.1439 0.1731 0.0614
14 Cl 0.8561 0.8269 0.5614
15 Cl 0.3561 0.6731 0.0614
16 Cl 0.6439 0.3269 0.5614

Values from the calculation:
* spin magnetization: 0.00 μB/cell
* volume: 407.6 Å³ per cell
* SG: Pnma, No. 62
* DOS at the Fermi energy: 0.00 states/eV per cell
* ΔE_f (raw): -0.93 eV/atom
* VASP energy: -3.51 eV/atom

# 6
VASP calculation (GGA-PBEsol) on CoBiP2Cl after structural relaxation.

Cell: 4.3943 4.3943 4.6584 Å, 90.00 90.00 90.00°
Atoms (fractional coordinates):
1 P 0.0000 0.5000 0.0000
2 P 0.5000 0.0000 0.0000
3 Co 0.0000 0.0000 0.0000
4 Bi 0.5000 0.5000 0.5000
5 Cl 0.0000 0.0000 0.5000

Values from the calculation:
* spin magnetization: 0.00 μB/cell
* volume: 90.0 Å³ per cell
* SG: P4/mmm, No. 123
* DOS at the Fermi energy: 5.33 states/eV per cell
* ΔE_f (raw): 0.20 eV/atom
* VASP energy: -4.92 eV/atom

# 7
VASP calculation (GGA-PBEsol) on RbCo2BiCl after structural relaxation.

Cell: 4.7505 4.7505 5.4095 Å, 90.00 90.00 90.00°
Atoms (fractional coordinates):
1 Co 0.0000 0.5000 0.0000
2 Co 0.5000 0.0000 0.0000
3 Bi 0.5000 0.5000 0.5000
4 Rb 0.0000 0.0000 0.0000
5 Cl 0.0000 0.0000 0.5000

Values from the calculation:
* spin magnetization: 2.73 μB/cell
* volume: 122.1 Å³ per cell
* SG: P4/mmm, No. 123
* DOS at the Fermi energy: 9.91 states/eV per cell
* ΔE_f (raw): 1.69 eV/atom
* VASP energy: -2.87 eV/atom

# 8
VASP calculation (GGA-PBEsol) on Cs3Bi2Cl9 after structural relaxation.

Cell: 7.5739 13.1337 18.5186 Å, 90.00 90.00 90.00°
Atoms (fractional coordinates):
1 Cs 0.2500 0.0928 0.5896
2 Cs 0.2500 0.4072 0.0896
3 Cs 0.7500 0.9072 0.4104
4 Cs 0.7500 0.5928 0.9104
5 Cs 0.2500 0.7479 0.2517
6 Cs 0.2500 0.7521 0.7517
7 Cs 0.7500 0.2521 0.7483
8 Cs 0.7500 0.2479 0.2483
9 Cs 0.2500 0.0783 0.9142
10 Cs 0.2500 0.4217 0.4142
11 Cs 0.7500 0.9217 0.0858
12 Cs 0.7500 0.5783 0.5858
13 Bi 0.2500 0.7382 0.4982
14 Bi 0.2500 0.7618 0.9982
15 Bi 0.7500 0.2618 0.5018
16 Bi 0.7500 0.2382 0.0018
17 Bi 0.2500 0.4176 0.8176
18 Bi 0.2500 0.0824 0.3176
19 Bi 0.7500 0.5824 0.1824
20 Bi 0.7500 0.9176 0.6824
21 Cl 0.2500 0.9169 0.4132
22 Cl 0.2500 0.5831 0.9132
23 Cl 0.7500 0.0831 0.5868
24 Cl 0.7500 0.4169 0.0868
25 Cl 0.2500 0.2440 0.7497
26 Cl 0.2500 0.2560 0.2497
27 Cl 0.7500 0.7560 0.2503
28 Cl 0.7500 0.7440 0.7503
29 Cl 0.2500 0.9180 0.0820
30 Cl 0.2500 0.5820 0.5820
31 Cl 0.7500 0.0820 0.9180
32 Cl 0.7500 0.4180 0.4180
33 Cl 0.9968 0.3358 0.5825
34 Cl 0.5032 0.1642 0.0825
35 Cl 0.4968 0.6642 0.4175
36 Cl 0.0032 0.8358 0.9175
37 Cl 0.0032 0.6642 0.4175
38 Cl 0.4968 0.8358 0.9175
39 Cl 0.5032 0.3358 0.5825
40 Cl 0.9968 0.1642 0.0825
41 Cl 0.9896 0.5046 0.7500
42 Cl 0.5104 0.9954 0.2500
43 Cl 0.4896 0.4954 0.2500
44 Cl 0.0104 0.0046 0.7500
45 Cl 0.0104 0.4954 0.2500
46 Cl 0.4896 0.0046 0.7500
47 Cl 0.5104 0.5046 0.7500
48 Cl 0.9896 0.9954 0.2500
49 Cl 0.0036 0.3348 0.9142
50 Cl 0.4964 0.1652 0.4142
51 Cl 0.5036 0.6652 0.0858
52 Cl 0.9964 0.8348 0.5858
53 Cl 0.9964 0.6652 0.0858
54 Cl 0.5036 0.8348 0.5858
55 Cl 0.4964 0.3348 0.9142
56 Cl 0.0036 0.1652 0.4142

Values from the calculation:
* spin magnetization: 0.00 μB/cell
* volume: 1842.1 Å³ per cell
* SG: Pnma, No. 62
* DOS at the Fermi energy: 0.00 states/eV per cell
* ΔE_f (raw): -1.48 eV/atom
* VASP energy: -3.58 eV/atom

# 9
VASP calculation (GGA-PBEsol) on Cs2BiCl after structural relaxation.

Cell: 8.1672 8.1672 8.1672 Å, 112.07 108.19 108.19°
Atoms (fractional coordinates):
1 Cs 0.9458 0.5708 0.1250
2 Cs 0.0542 0.1792 0.6250
3 Cs 0.5542 0.3750 0.4292
4 Cs 0.4458 0.8750 0.8208
5 Bi 0.0000 0.0000 0.0000
6 Bi 0.5000 0.7500 0.2500
7 Cl 0.0000 0.5000 0.5000
8 Cl 0.5000 0.2500 0.7500

Values from the calculation:
* spin magnetization: 4.02 μB/cell
* volume: 418.7 Å³ per cell
* SG: I-42d, No. 122
* DOS at the Fermi energy: 4.22 states/eV per cell
* ΔE_f (raw): -0.71 eV/atom
* VASP energy: -2.75 eV/atom

# 10
VASP calculation (GGA-PBEsol) on Cs3Bi2Cl9 after structural relaxation.

Cell: 7.6004 7.6004 9.3977 Å, 90.00 90.00 120.00°
Atoms (fractional coordinates):
1 Cs 0.0000 0.0000 0.0000
2 Cs 0.3333 0.6667 0.3457
3 Cs 0.6667 0.3333 0.6543
4 Bi 0.3333 0.6667 0.8139
5 Bi 0.6667 0.3333 0.1861
6 Cl 0.5203 0.5203 0.0000
7 Cl 0.4797 0.0000 0.0000
8 Cl 0.0000 0.4797 0.0000
9 Cl 0.8413 0.6625 0.3361
10 Cl 0.3375 0.1788 0.3361
11 Cl 0.8212 0.1587 0.3361
12 Cl 0.1587 0.8212 0.6639
13 Cl 0.1788 0.3375 0.6639
14 Cl 0.6625 0.8413 0.6639

Values from the calculation:
* spin magnetization: 0.00 μB/cell
* volume: 470.1 Å³ per cell
* SG: P321, No. 150
* DOS at the Fermi energy: 0.00 states/eV per cell
* ΔE_f (raw): -1.48 eV/atom
* VASP energy: -3.58 eV/atom

# 11
VASP calculation (GGA-PBEsol) on Cs2Bi2Cl after structural relaxation.

Cell: 4.4266 4.4266 10.9546 Å, 101.66 101.66 90.00°
Atoms (fractional coordinates):
1 Cs 0.4095 0.4095 0.8189
2 Cs 0.5905 0.5905 0.1811
3 Bi 0.2500 0.7500 0.5000
4 Bi 0.7500 0.2500 0.5000
5 Cl 0.0000 0.0000 0.0000

Values from the calculation:
* spin magnetization: 0.00 μB/cell
* volume: 205.7 Å³ per cell
* SG: I4/mmm, No. 139
* DOS at the Fermi energy: 1.66 states/eV per cell
* ΔE_f (raw): -0.89 eV/atom
* VASP energy: -3.38 eV/atom

# 12
VASP calculation (GGA-PBEsol) on CsBiCl2 after structural relaxation.

Cell: 3.9310 3.9310 10.3408 Å, 79.04 79.04 60.00°
Atoms (fractional coordinates):
1 Cs 0.5000 0.5000 0.5000
2 Bi 0.0000 0.0000 0.0000
3 Cl 0.9110 0.9110 0.2670
4 Cl 0.0890 0.0890 0.7330

Values from the calculation:
* spin magnetization: 0.00 μB/cell
* volume: 135.0 Å³ per cell
* SG: R-3m, No. 166
* DOS at the Fermi energy: 0.62 states/eV per cell
* ΔE_f (raw): -1.04 eV/atom
* VASP energy: -3.35 eV/atom